Computed, not measured: a relaxed structure of Pm3In2Rh4 at the PBE level of DFT.

Calculated values
Formation enthalpy at 0 K ... -0.643 eV/atom
Size of the total moment ... 0.00 μB per formula unit

The structure in CIF format:
```
data_Pm3In2Rh4
_chemical_formula_sum 'Pm6 In4 Rh8'
_space_group_name_H-M_alt 'C 1 2/m 1'
_space_group_IT_number 12
_space_group_name_Hall '-C 2y'
_cell_length_a 10.0548
_cell_length_b 4.4637
_cell_length_c 8.8990
_cell_angle_alpha 90.00
_cell_angle_beta 94.93
_cell_angle_gamma 90.00
loop_
_atom_site_label
_atom_site_type_symbol
_atom_site_fract_x
_atom_site_fract_y
_atom_site_fract_z
_atom_site_occupancy
Pm1 Pm 0.0000 0.0000 0.0000 1
Pm2 Pm 0.1270 0.5000 0.3853 1
In1 In 0.1785 0.5000 0.7811 1
Rh1 Rh 0.0855 0.0000 0.6279 1
Rh2 Rh 0.2122 0.5000 0.0887 1
```

Computed, not measured: a relaxed structure of SiAu2I at the PBE level of DFT.

Calculated values
Excess energy over the best structure of this formula in the dataset ... 611.4 meV/atom
Size of the total moment ... 0.00 μB per formula unit
Raw formation energy ... 0.718 eV/atom

The structure in CIF format:
```
data_SiAu2I
_chemical_formula_sum 'Si4 Au8 I4'
_space_group_name_H-M_alt 'F m -3 m'
_space_group_IT_number 225
_space_group_name_Hall '-F 4 2 3'
_cell_length_a 7.0354
_cell_length_b 7.0354
_cell_length_c 7.0354
_cell_angle_alpha 90.00
_cell_angle_beta 90.00
_cell_angle_gamma 90.00
loop_
_atom_site_label
_atom_site_type_symbol
_atom_site_fract_x
_atom_site_fract_y
_atom_site_fract_z
_atom_site_occupancy
Si1 Si 0.0000 0.0000 0.0000 1
Au1 Au 0.2500 0.2500 0.2500 1
I1 I 0.0000 0.0000 0.5000 1
```

Computed, not measured: a relaxed structure of Ac14CeEr at the PBE level of DFT.

Calculated values
Formation enthalpy at 0 K ... 0.051 eV/atom
Size of the total moment ... 1.96 μB per formula unit

The structure in CIF format:
```
data_Ac14CeEr
_chemical_formula_sum 'Ac28 Ce2 Er2'
_space_group_name_H-M_alt 'A m m 2'
_space_group_IT_number 38
_space_group_name_Hall 'A 2 -2'
_cell_length_a 11.1983
_cell_length_b 11.1304
_cell_length_c 11.1246
_cell_angle_alpha 90.00
_cell_angle_beta 90.00
_cell_angle_gamma 90.00
loop_
_atom_site_label
_atom_site_type_symbol
_atom_site_fract_x
_atom_site_fract_y
_atom_site_fract_z
_atom_site_occupancy
Ac1 Ac 0.0000 0.0000 0.0000 1
Ac2 Ac 0.0000 0.0000 0.5000 1
Ac3 Ac 0.0000 0.2504 0.2499 1
Ac4 Ac 0.2571 0.0000 0.2504 1
Ac5 Ac 0.2582 0.0000 0.7495 1
Ac6 Ac 0.2577 0.2494 0.5000 1
Ac7 Ac 0.5000 0.2495 0.2500 1
Ce1 Ce 0.5000 0.0000 0.5000 1
Er1 Er 0.5000 0.0000 0.0000 1
```

Computed, not measured: a relaxed structure of Nd6ErTh3 at the PBE level of DFT.

Calculated values
Formation enthalpy at 0 K ... 0.132 eV/atom
Size of the total moment ... 0.00 μB per formula unit

The structure in CIF format:
```
data_Nd6ErTh3
_chemical_formula_sum 'Nd12 Er2 Th6'
_space_group_name_H-M_alt 'P -1'
_space_group_IT_number 2
_space_group_name_Hall '-P 1'
_cell_length_a 3.5336
_cell_length_b 13.5124
_cell_length_c 14.4119
_cell_angle_alpha 84.93
_cell_angle_beta 89.96
_cell_angle_gamma 89.99
loop_
_atom_site_label
_atom_site_type_symbol
_atom_site_fract_x
_atom_site_fract_y
_atom_site_fract_z
_atom_site_occupancy
Nd1 Nd 0.2489 0.1186 0.4820 1
Nd2 Nd 0.2501 0.5337 0.3004 1
Nd3 Nd 0.2501 0.5575 0.8992 1
Nd4 Nd 0.2500 0.7077 0.6882 1
Nd5 Nd 0.2499 0.9297 0.1003 1
Nd6 Nd 0.2511 0.2235 0.7146 1
Er1 Er 0.2500 0.1901 0.1101 1
Th1 Th 0.2500 0.3834 0.5100 1
Th2 Th 0.2497 0.6833 0.0876 1
Th3 Th 0.2506 0.9653 0.7134 1
```

Computed, not measured: a relaxed structure of Ti2GaO at the PBE level of DFT.

Calculated values
Excess energy over the best structure of this formula in the dataset ... 0.0 meV/atom
Size of the total moment ... 0.00 μB per formula unit
Raw formation energy ... -1.459 eV/atom

The structure in CIF format:
```
data_Ti2GaO
_chemical_formula_sum 'Ti6 Ga3 O3'
_space_group_name_H-M_alt 'R 3 m'
_space_group_IT_number 160
_space_group_name_Hall 'R 3 -2"'
_cell_length_a 2.9418
_cell_length_b 2.9418
_cell_length_c 20.8603
_cell_angle_alpha 90.00
_cell_angle_beta 90.00
_cell_angle_gamma 120.00
loop_
_atom_site_label
_atom_site_type_symbol
_atom_site_fract_x
_atom_site_fract_y
_atom_site_fract_z
_atom_site_occupancy
Ti1 Ti 0.0000 0.0000 0.0000 1
Ti2 Ti 0.0000 0.0000 0.2088 1
Ga1 Ga 0.0000 0.0000 0.7717 1
O1 O 0.0000 0.0000 0.6042 1
```

Computed, not measured: a relaxed structure of As2PdPbN at the PBE level of DFT.

Calculated values
Size of the total moment ... 0.00 μB per formula unit
Raw formation energy ... 1.641 eV/atom

The structure in CIF format:
```
data_As2PdPbN
_chemical_formula_sum 'As2 Pd1 Pb1 N1'
_space_group_name_H-M_alt 'P 4/m m m'
_space_group_IT_number 123
_space_group_name_Hall '-P 4 2'
_cell_length_a 5.4412
_cell_length_b 5.4412
_cell_length_c 4.0914
_cell_angle_alpha 90.00
_cell_angle_beta 90.00
_cell_angle_gamma 90.00
loop_
_atom_site_label
_atom_site_type_symbol
_atom_site_fract_x
_atom_site_fract_y
_atom_site_fract_z
_atom_site_occupancy
As1 As 0.0000 0.5000 0.0000 1
Pd1 Pd 0.0000 0.0000 0.5000 1
Pb1 Pb 0.5000 0.5000 0.0000 1
N1 N 0.5000 0.5000 0.5000 1
```

Computed, not measured: a relaxed structure of Ba2InTeN at the PBE level of DFT.

Calculated values
Size of the total moment ... 0.00 μB per formula unit
Raw formation energy ... -0.360 eV/atom

The structure in CIF format:
```
data_Ba2InTeN
_chemical_formula_sum 'Ba2 In1 Te1 N1'
_space_group_name_H-M_alt 'P 4/m m m'
_space_group_IT_number 123
_space_group_name_Hall '-P 4 2'
_cell_length_a 5.7714
_cell_length_b 5.7714
_cell_length_c 4.5353
_cell_angle_alpha 90.00
_cell_angle_beta 90.00
_cell_angle_gamma 90.00
loop_
_atom_site_label
_atom_site_type_symbol
_atom_site_fract_x
_atom_site_fract_y
_atom_site_fract_z
_atom_site_occupancy
Ba1 Ba 0.0000 0.5000 0.0000 1
In1 In 0.0000 0.0000 0.5000 1
Te1 Te 0.5000 0.5000 0.5000 1
N1 N 0.5000 0.5000 0.0000 1
```

Computed, not measured: a relaxed structure of CeZnIn2 at the PBE level of DFT.

Calculated values
Formation enthalpy at 0 K ... -0.169 eV/atom
Size of the total moment ... 1.44 μB per formula unit

The structure in CIF format:
```
data_CeZnIn2
_chemical_formula_sum 'Ce1 Zn1 In2'
_space_group_name_H-M_alt 'P 4/m m m'
_space_group_IT_number 123
_space_group_name_Hall '-P 4 2'
_cell_length_a 3.5730
_cell_length_b 3.5730
_cell_length_c 7.5769
_cell_angle_alpha 90.00
_cell_angle_beta 90.00
_cell_angle_gamma 90.00
loop_
_atom_site_label
_atom_site_type_symbol
_atom_site_fract_x
_atom_site_fract_y
_atom_site_fract_z
_atom_site_occupancy
Ce1 Ce 0.0000 0.0000 0.0000 1
Zn1 Zn 0.0000 0.0000 0.5000 1
In1 In 0.5000 0.5000 0.2933 1
```

Uncorrected energy per entry: -6.102, -2.664, -4.200, -5.411, -7.403, -3.665, -3.970, -3.340 eV per atom